Entry from the Alexandria database: crystalline FeTeO at its relaxed geometry (PBE with a Hubbard U).

a b c (Å): 3.966 7.132 4.275
angles (deg): 90.00 90.00 90.00
Space group Pmn2_1 (No. 31)
Unique sites:
Fe: 0.000 0.045 0.000
Te: 0.000 0.453 0.992
O: 0.000 0.998 0.499

Computed properties:
Size of the total moment = 3.85 μB/f.u.
E_tot = -31.922 eV for the cell shown